Here is an optimized crystal structure of CrTeI2O from Alexandria via LeMat-Bulk. Energies are from GGA+U.

Lattice parameters (Å, degrees): 6.2090 6.2090 4.0820 90.00 90.00 90.00
Last column: magnetic moment on the atom in μB.
Fractional coordinates of all 5 atoms:
I  0.0000  0.5000  0.0000  -0.02
I  0.5000  0.0000  0.0000  -0.02
Cr  0.5000  0.5000  0.5000  4.60
Te  0.0000  0.0000  0.0000  0.00
O  0.0000  0.0000  0.5000  0.00

Properties
The crystal system is tetragonal. As for the distance to the lowest polymorph of the same formula: 0.000 eV/atom. As for the space group: P4/mmm (123).


Here is an optimized crystal structure of CrTeI2O from Alexandria via LeMat-Bulk. Energies are from GGA+U.

Lattice parameters (Å, degrees): 5.8279 5.8279 3.7054 90.00 90.00 90.00
Last column: magnetic moment on the atom in μB.
Fractional coordinates of all 5 atoms:
O  0.0000  0.0000  0.5000  0.14
I  0.5000  0.0000  0.0000  0.01
I  0.0000  0.5000  0.0000  0.01
Cr  0.0000  0.0000  0.0000  -1.88
Te  0.5000  0.5000  0.5000  0.00

Properties
The crystal system is tetragonal. As for the distance to the lowest polymorph of the same formula: 0.004 eV/atom. As for the space group: P4/mmm (123).